ZrBiBr2 | PBE | optimized geometry Values from VASP.

Summary:
DFT total energy in eV per atom: -4.66
Polymorph energy (0 for the lowest one) in kJ/mol of atoms: 0.0
Space group: R-3m (166)
Uncorrected formation energy in meV/atom: -721

The structure in Quantum ESPRESSO input format:
```
&SYSTEM
  ibrav = 0, nat = 4, ntyp = 3
/
ATOMIC_SPECIES
Br 79.90 Br.upf
Bi 208.98 Bi.upf
Zr 91.22 Zr.upf
CELL_PARAMETERS angstrom
-10.4264 -5.9578 3.5411
-8.1764 -8.4283 4.3421
-8.8461 -5.9190 6.5921
ATOMIC_POSITIONS angstrom
Br -24.3072 -17.9810 12.8185
Br -3.1417 -2.3240 1.6568
Bi 0.0000 0.0000 0.0000
Zr -13.7244 -10.1525 7.2376
```

CsS | PBE | optimized geometry Values from VASP.

Summary:
DFT total energy in eV per atom: -3.25
Space group: Imm2 (44)
Uncorrected formation energy in meV/atom: -756

The structure in Quantum ESPRESSO input format:
```
&SYSTEM
  ibrav = 0, nat = 12, ntyp = 2
/
ATOMIC_SPECIES
Cs 132.91 Cs.upf
S 32.06 S.upf
CELL_PARAMETERS angstrom
-3.2687 4.4832 1.1012
2.6421 -1.4717 13.8340
5.4995 4.1590 -0.6079
ATOMIC_POSITIONS angstrom
Cs 3.6218 0.3284 9.4136
Cs 2.5928 0.9016 4.0254
Cs 3.4161 5.3854 2.7433
Cs 5.0292 4.4869 11.1891
Cs 1.2458 0.9421 -0.1377
Cs 3.6822 4.5274 7.0259
S 6.2803 2.4907 8.5020
S 5.4823 2.9351 4.3238
S 0.5751 3.3886 2.4396
S 2.4192 2.3614 12.0954
S 6.6195 3.2712 6.3313
S 0.9144 4.1691 0.2689
```